Record 1
DFT (PBE-GGA) results for Pm5SmDyTm2 after structural relaxation.

Values from the calculation:
* energy of formation: 0.15 eV per atom
* calculated total energy: -81.3 eV for the cell shown
* M_tot: 0.00 Bohr magnetons per cell

The structure in POSCAR format:
```
Pm5SmDyTm2
1.0
2.818 -10.131 0.000
2.818 10.131 0.000
0.000 0.000 10.690
Pm Sm Dy Tm
10 2 2 4
direct
0.017 0.983 0.500
0.281 0.719 0.788
0.298 0.702 0.183
0.390 0.610 0.503
0.480 0.520 0.220
0.520 0.480 0.720
0.610 0.390 0.003
0.702 0.298 0.683
0.719 0.281 0.288
0.983 0.017 0.000
0.200 0.800 0.488
0.800 0.200 0.988
0.411 0.589 0.935
0.589 0.411 0.435
0.110 0.890 0.217
0.116 0.884 0.794
0.884 0.116 0.294
0.890 0.110 0.717
```

***

Record 2
DFT (PBE-GGA) results for Pm2SmDyTm5 after structural relaxation.

Values from the calculation:
* energy of formation: 0.27 eV per atom
* calculated total energy: -77.6 eV for the cell shown
* M_tot: 0.00 Bohr magnetons per cell

The structure in POSCAR format:
```
Pm2SmDyTm5
1.0
-4.287 4.287 7.743
4.287 -4.287 7.743
4.287 4.287 -7.743
Pm Sm Dy Tm
4 2 2 10
direct
0.117 0.617 0.735
0.383 0.117 0.500
0.617 0.883 0.500
0.883 0.383 0.265
0.250 0.750 0.500
0.750 0.250 0.500
0.250 0.250 0.000
0.750 0.750 0.000
0.000 0.000 0.000
0.072 0.151 0.500
0.151 0.651 0.079
0.349 0.428 0.500
0.428 0.928 0.079
0.500 0.500 0.000
0.572 0.072 0.921
0.651 0.572 0.500
0.849 0.349 0.921
0.928 0.849 0.500
```